Here is a geometry-optimized DyAl2AgAu4 structure from the Alexandria database. Energies are from PBE.

Properties
The calculation puts the magnetic moment at 0.0 μB/cell. As for the volume: 19.126 A^3/atom. The calculation puts the density of states at the Fermi level at 0.36 states/eV/atom. Its space group is R-3m, No. 166. As for the energy relative to the elements: -3.6 eV/f.u.

Unit cell a=4.494 b=4.494 c=9.123 alpha=75.74 beta=75.74 gamma=60.00
Element x y z (fractional)
Au  0.609  0.609  0.174
Au  0.391  0.391  0.826
Au  0.122  0.122  0.635
Au  0.878  0.878  0.365
Al  0.758  0.758  0.725
Al  0.242  0.242  0.275
Ag  0.500  0.500  0.500
Dy  0.000  0.000  0.000


Here is a geometry-optimized YSn2Pb structure from the Alexandria database. Energies are from PBE.

Properties
The calculation puts the magnetic moment at 0.0 μB/cell. As for the volume: 27.325 A^3/atom. The calculation puts the density of states at the Fermi level at 0.69 states/eV/atom. Its space group is P4/mmm, No. 123. As for the energy relative to the elements: -1.5 eV/f.u.

Unit cell a=4.746 b=4.799 c=4.799 alpha=90.00 beta=90.00 gamma=90.00
Element x y z (fractional)
Sn  0.000  0.000  0.500
Sn  0.000  0.500  0.000
Y  0.500  0.000  0.000
Pb  0.500  0.500  0.500


Here is a geometry-optimized VZnI2N structure from the Alexandria database. Energies are from PBE.

Properties
As for the energy relative to the lowest polymorph listed for this composition: 940 meV per atom. The calculation puts the magnetic moment at 2.0 μB/cell. The value obtained for the formation energy from raw total energies is 1.075 eV/atom. As for the volume: 24.287 A^3/atom. The calculation puts the density of states at the Fermi level at 0.87 states/eV/atom. Its space group is P4/mmm, No. 123.

Unit cell a=5.717 b=5.717 c=3.715 alpha=90.00 beta=90.00 gamma=90.00
Element x y z (fractional)
N  0.000  0.000  0.500
V  0.500  0.500  0.500
Zn  0.000  0.000  0.000
I  0.000  0.500  0.000
I  0.500  0.000  0.000


Here is a geometry-optimized ReRh2Br structure from the Alexandria database. Energies are from PBE.

Properties
As for the energy relative to the lowest polymorph listed for this composition: 471 meV per atom. The calculation puts the magnetic moment at 0.0 μB/cell. The value obtained for the formation energy from raw total energies is 0.777 eV/atom. As for the volume: 16.196 A^3/atom. The calculation puts the density of states at the Fermi level at 1.49 states/eV/atom. Its space group is Cmm2, No. 35.

Unit cell a=2.832 b=2.832 c=9.315 alpha=90.00 beta=90.00 gamma=119.87
Element x y z (fractional)
Br  0.000  0.000  0.493
Rh  0.500  0.500  0.245
Rh  0.000  0.000  0.996
Re  0.500  0.500  0.766


Here is a geometry-optimized Be2BS structure from the Alexandria database. Energies are from PBE.

Properties
As for the energy relative to the lowest polymorph listed for this composition: 75 meV per atom. The calculation puts the magnetic moment at 0.0 μB/cell. The value obtained for the formation energy from raw total energies is -0.278 eV/atom. As for the volume: 11.377 A^3/atom. The calculation puts the density of states at the Fermi level at 0.11 states/eV/atom. Its space group is P1, No. 1.

Unit cell a=3.171 b=3.350 c=9.461 alpha=84.07 beta=82.03 gamma=66.33
Element x y z (fractional)
Be  0.151  0.655  0.275
Be  0.697  0.245  0.581
Be  0.662  0.966  0.069
Be  0.208  0.899  0.876
B  0.858  0.440  0.979
B  0.309  0.584  0.059
S  0.780  0.289  0.358
S  0.330  0.875  0.660


Here is a geometry-optimized Cd2AsIr structure from the Alexandria database. Energies are from PBE.

Properties
The calculation puts the magnetic moment at 0.0 μB/cell. As for the volume: 19.891 A^3/atom. The calculation puts the density of states at the Fermi level at 0.34 states/eV/atom. Its space group is P4mm, No. 99. As for the energy relative to the elements: -0.1 eV/f.u.

Unit cell a=3.036 b=3.036 c=8.634 alpha=90.00 beta=90.00 gamma=90.00
Element x y z (fractional)
Ir  0.000  0.000  0.523
Cd  0.000  0.000  0.008
Cd  0.500  0.500  0.284
As  0.500  0.500  0.685


Here is a geometry-optimized PH2Pt5 structure from the Alexandria database. Energies are from PBE.

Properties
The calculation puts the magnetic moment at 0.0 μB/cell. As for the volume: 14.581 A^3/atom. The total energy comes out at -0.1945 Ha/atom. The calculation puts the density of states at the Fermi level at 0.46 states/eV/atom. Its space group is P2_1/m, No. 11.

Unit cell a=6.544 b=11.056 c=5.645 alpha=90.00 beta=90.00 gamma=145.17
Element x y z (fractional)
Pt  0.898  0.833  0.004
Pt  0.498  0.178  0.250
Pt  0.502  0.822  0.750
Pt  0.142  0.457  0.996
Pt  0.858  0.543  0.496
Pt  0.102  0.167  0.996
Pt  0.102  0.167  0.504
Pt  0.858  0.543  0.004
Pt  0.898  0.833  0.496
Pt  0.142  0.457  0.504
P  0.160  0.823  0.750
P  0.840  0.177  0.250
H  0.292  0.393  0.894
H  0.708  0.607  0.394
H  0.708  0.607  0.106
H  0.292  0.393  0.606


Here is a geometry-optimized Ac8Nd3 structure from the Alexandria database. Energies are from PBE.

Properties
The calculation puts the magnetic moment at 0.0 μB/cell. As for the volume: 44.813 A^3/atom. The calculation puts the density of states at the Fermi level at 1.42 states/eV/atom. Its space group is R-3, No. 148. As for the energy relative to the elements: 4.1 eV/f.u.

Unit cell a=8.325 b=8.325 c=8.325 alpha=106.00 beta=106.00 gamma=106.00
Element x y z (fractional)
Nd  0.500  0.000  0.500
Nd  0.000  0.500  0.500
Nd  0.500  0.500  0.000
Ac  0.199  0.075  0.690
Ac  0.310  0.801  0.925
Ac  0.801  0.925  0.310
Ac  0.258  0.258  0.258
Ac  0.925  0.310  0.801
Ac  0.075  0.690  0.199
Ac  0.742  0.742  0.742
Ac  0.690  0.199  0.075


Among the records above, which one has the highest magnetic moment? VZnI2N


Look up the volume of the fifth one. 11.377 A^3/atom